[1]
Computed, not measured: a relaxed structure of LaNb2ReAs at the GGA-PBEsol level of DFT.

## Properties
As for the density of states at the Fermi level: 1.324 states/eV per atom. The energy is -32.624 eV for the cell shown.

abc: 4.7958 4.7958 5.1091
angles: 90.00 90.00 90.00
Last column: nearest neighbours and their distance in Å.
Space group P4/mmm (No. 123)
Symmetry-distinct sites (fractional):
La  0.0000  0.0000  0.0000 x1  4 Nb 2.40, 2 As 2.55
Nb  0.0000  0.5000  0.0000 x2  2 La 2.40
Re  0.5000  0.5000  0.5000 x1  4 As 3.39, 8 Nb 3.50
As  0.0000  0.0000  0.5000 x1  2 La 2.55

***

[2]
Computed, not measured: a relaxed structure of BaSr2Ca at the GGA-PBEsol level of DFT.

## Properties
As for the density of states at the Fermi level: 1.117 states/eV per atom. For the energy above the most stable polymorph in this dataset, the calculation gives 0.002 eV/atom.

abc: 4.0053 6.5459 7.6820
angles: 90.00 100.05 90.00
Last column: nearest neighbours and their distance in Å.
Space group Pm (No. 6)
Symmetry-distinct sites (fractional):
Ba  0.0000  0.0000  0.0000 x1  4 Sr 3.97-4.05, 2 Ca 4.00, 2 Ba 4.01
Sr  0.2501  0.5000  0.7429 x1  2 Ca 4.00-4.02, 4 Sr 4.01-4.03, 2 Ba 4.04
Sr  0.5110  0.0000  0.4917 x1  2 Ba 3.97-4.05, 2 Ca 3.97, 4 Sr 4.01-4.03
Ca  0.7447  0.5000  0.2458 x1  4 Sr 3.97-4.02, 2 Ba 4.00, 2 Ca 4.01

***

[3]
Computed, not measured: a relaxed structure of BaThN2 at the GGA-PBEsol level of DFT.

## Properties
Its raw formation energy is -1.309 eV per atom.

abc: 3.7349 3.7349 12.7451
angles: 90.00 90.00 120.00
Last column: nearest neighbours and their distance in Å.
Space group P6_3/mmc (No. 194)
Symmetry-distinct sites (fractional):
Ba  0.3333  0.6667  0.2500 x2  6 N 2.90
Th  0.0000  0.0000  0.0000 x2  6 N 2.49
N  0.3333  0.6667  0.5975 x4  3 Th 2.49

***

[4]
Computed, not measured: a relaxed structure of Al2Te4O11 at the GGA-PBEsol level of DFT.

## Properties
Its raw formation energy is -1.624 eV per atom. As for the density of states at the Fermi level: 0.000 states/eV per atom.

abc: 6.8022 7.5288 9.5366
angles: 90.00 100.28 90.00
Last column: nearest neighbours and their distance in Å.
Space group P2_1/c (No. 14)
Symmetry-distinct sites (fractional):
Al  0.1808  0.0004  0.1144 x4  6 O 1.88-1.92
Te  0.1805  0.1438  0.4138 x4  3 O 1.88-1.93
Te  0.3489  0.6434  0.3232 x4  3 O 1.89-1.92
O  0.0000  0.0000  0.5000 x2  2 Te 1.93
O  0.0279  0.1339  0.2290 x4  1 Te 1.88, 1 Al 1.92
O  0.0598  0.1326  0.9488 x4  2 Al 1.92, 1 Te 1.93
O  0.2907  0.6126  0.7879 x4  1 Al 1.89, 1 Te 1.90
O  0.3356  0.6480  0.5190 x4  1 Al 1.88, 1 Te 1.89
O  0.3693  0.1874  0.1502 x4  1 Al 1.89, 1 Te 1.92